# NaIn3Ga3 (GGA-PBE, relaxed)
data_NaIn3Ga3
_symmetry_space_group_name_H-M 'P 1'
_symmetry_Int_Tables_number 1
_symmetry_space_group_name_Hall 'P 1'
_cell_length_a 9.553
_cell_length_b 9.553
_cell_length_c 4.411
_cell_angle_alpha 90.00
_cell_angle_beta 90.00
_cell_angle_gamma 120.00
loop_
_atom_site_label
_atom_site_type_symbol
_atom_site_fract_x
_atom_site_fract_y
_atom_site_fract_z
Na1 Na 0.333 0.667 0.250
Na2 Na 0.667 0.333 0.750
In1 In 0.075 0.271 0.750
In2 In 0.196 0.925 0.750
In3 In 0.271 0.196 0.250
In4 In 0.729 0.804 0.750
In5 In 0.804 0.075 0.250
In6 In 0.925 0.729 0.250
Ga1 Ga 0.063 0.581 0.750
Ga2 Ga 0.419 0.483 0.750
Ga3 Ga 0.483 0.063 0.250
Ga4 Ga 0.517 0.937 0.750
Ga5 Ga 0.581 0.517 0.250
Ga6 Ga 0.937 0.419 0.250
# Total energy ... -37.16 eV per cell
# Total magnetic moment ... 0.000 Bohr magnetons per cell
# Space group ... P6_3/m (176)
# Energy relative to the lowest polymorph listed for this composition ... 7 kJ/mol of formula units
# ΔE_f ... 0.0053 eV/atom